{
  "formula": "MgMn2Hg",
  "functional": "PBE",
  "state": "optimized geometry",
  "lattice": [[6.562, 0.000, 0.000], [0.000, 6.562, 0.000], [0.000, 0.000, 6.562]],
  "species": ["Mg", "Mg", "Mg", "Mg", "Mn", "Mn", "Mn", "Mn", "Mn", "Mn", "Mn", "Mn", "Hg", "Hg", "Hg", "Hg"],
  "fractional_positions": [[0.000, 0.000, 0.000], [0.000, 0.500, 0.500], [0.500, 0.000, 0.500], [0.500, 0.500, 0.000], [0.250, 0.250, 0.250], [0.250, 0.250, 0.750], [0.250, 0.750, 0.250], [0.250, 0.750, 0.750], [0.750, 0.250, 0.250], [0.750, 0.250, 0.750], [0.750, 0.750, 0.250], [0.750, 0.750, 0.750], [0.000, 0.000, 0.500], [0.000, 0.500, 0.000], [0.500, 0.000, 0.000], [0.500, 0.500, 0.500]],
  "de_polymorph_ev_per_atom": 0.139,
  "crystal_system": "cubic",
  "ef_kj_per_mol_fu": 111,
  "magmom_total_mub_per_fu": 7.5,
  "energy_ev_per_cell": -76.3
}